# FeP3

A geometry-optimized FeP3 structure (PBE-GGA, Alexandria).

Output
VASP energy: -5.872 eV/atom
Energy above the lowest structure with this stoichiometry: 0.376 eV per atom
Mass density: 4.54 g/cm³
ΔE_f: 0.30 eV/atom
Space-group type: P-6m2, No. 187

abc: 2.7489 2.7489 8.3083
angles: 90.00 90.00 120.00
Sites, in units of the cell vectors:
Fe1 0.0000 0.0000 0.0000
P1 0.0000 0.0000 0.5000
P2 0.6667 0.3333 0.1993
P3 0.6667 0.3333 0.8007